No. 1
A relaxed Si3AgRh crystal. Source: Alexandria, functional GGA-PBE.

Fermi-level density of states = 5.09 states/eV per cell
Energy above the most stable polymorph in this dataset = 0 meV per atom

Structure (CIF):
```
data_Si3AgRh
_chemical_formula_sum 'Si3 Ag1 Rh1'
_space_group_name_H-M_alt 'P m -3 m'
_space_group_IT_number 221
_space_group_name_Hall '-P 4 2 3'
_cell_length_a 4.640
_cell_length_b 4.640
_cell_length_c 4.640
_cell_angle_alpha 90.00
_cell_angle_beta 90.00
_cell_angle_gamma 90.00
loop_
_atom_site_label
_atom_site_type_symbol
_atom_site_fract_x
_atom_site_fract_y
_atom_site_fract_z
Si1 Si 0.000 0.000 0.500
Ag1 Ag 0.500 0.500 0.500
Rh1 Rh 0.000 0.000 0.000
```

=====

No. 2
A relaxed Tb4NdTh3 crystal. Source: Alexandria, functional GGA-PBE.

Fermi-level density of states = 23.60 states/eV per cell
Formation enthalpy at 0 K = 5.0 kJ per mole of atoms

Structure (CIF):
```
data_Tb4NdTh3
_chemical_formula_sum 'Tb8 Nd2 Th6'
_space_group_name_H-M_alt 'C 1 2/m 1'
_space_group_IT_number 12
_cell_length_a 7.165
_cell_length_b 14.277
_cell_length_c 6.201
_cell_angle_alpha 90.00
_cell_angle_beta 125.09
_cell_angle_gamma 90.00
loop_
_space_group_symop_operation_xyz
'x,y,z'
'-x,-y,-z'
'-x,y,-z'
'x,-y,z'
'x+1/2,y+1/2,z'
'-x+1/2,-y+1/2,-z'
'-x+1/2,y+1/2,-z'
'x+1/2,-y+1/2,z'
loop_
_atom_site_label
_atom_site_type_symbol
_atom_site_fract_x
_atom_site_fract_y
_atom_site_fract_z
Tb1 Tb 0.000 0.125 0.000
Tb2 Tb 0.000 0.247 0.500
Nd1 Nd 0.000 0.500 0.500
Th1 Th 0.000 0.000 0.500
Th2 Th 0.000 0.378 0.000
```

=====

No. 3
A relaxed CaZn3Ni crystal. Source: Alexandria, functional GGA-PBE.

Fermi-level density of states = 1.93 states/eV per cell
Formation enthalpy at 0 K = -15.8 kJ per mole of atoms
Energy above the most stable polymorph in this dataset = 78 meV per atom

Structure (CIF):
```
data_CaZn3Ni
_chemical_formula_sum 'Ca1 Zn3 Ni1'
_space_group_name_H-M_alt 'P m -3 m'
_space_group_IT_number 221
_space_group_name_Hall '-P 4 2 3'
_cell_length_a 4.616
_cell_length_b 4.616
_cell_length_c 4.616
_cell_angle_alpha 90.00
_cell_angle_beta 90.00
_cell_angle_gamma 90.00
loop_
_atom_site_label
_atom_site_type_symbol
_atom_site_fract_x
_atom_site_fract_y
_atom_site_fract_z
Ca1 Ca 0.000 0.000 0.000
Zn1 Zn 0.000 0.500 0.500
Ni1 Ni 0.500 0.500 0.500
```

=====

No. 4
A relaxed Ho2ZnCu2Rh5 crystal. Source: Alexandria, functional GGA-PBE.

Fermi-level density of states = 22.49 states/eV per cell
Formation enthalpy at 0 K = -43.0 kJ per mole of atoms

Structure (CIF):
```
data_Ho2ZnCu2Rh5
_chemical_formula_sum 'Ho4 Zn2 Cu4 Rh10'
_space_group_name_H-M_alt 'P 4/m b m'
_space_group_IT_number 127
_space_group_name_Hall '-P 4 2ab'
_cell_length_a 9.219
_cell_length_b 9.219
_cell_length_c 3.817
_cell_angle_alpha 90.00
_cell_angle_beta 90.00
_cell_angle_gamma 90.00
loop_
_atom_site_label
_atom_site_type_symbol
_atom_site_fract_x
_atom_site_fract_y
_atom_site_fract_z
Ho1 Ho 0.175 0.325 0.000
Zn1 Zn 0.000 0.000 0.000
Cu1 Cu 0.123 0.623 0.000
Rh1 Rh 0.000 0.500 0.500
Rh2 Rh 0.068 0.798 0.500
```

=====

Among the records above, which one has the lowest Fermi-level density of states? CaZn3Ni